(1)
LaNi3Ge2 | PBE | relaxed Values from VASP.

```
&SYSTEM
  ibrav = 0, nat = 18, ntyp = 3
/
ATOMIC_SPECIES
Ni 58.69 Ni.upf
Ge 72.64 Ge.upf
La 138.91 La.upf
CELL_PARAMETERS angstrom
-0.301 3.517 1.814
1.367 -5.288 6.139
8.652 2.518 -3.444
ATOMIC_POSITIONS crystal
Ni 0.949 0.899 0.655
Ni 0.051 0.101 0.345
Ni 0.676 0.352 0.970
Ni 0.324 0.648 0.030
Ni 0.214 0.429 0.390
Ni 0.371 0.743 0.796
Ni 0.629 0.257 0.204
Ni 0.786 0.571 0.610
Ni 0.500 0.000 0.500
Ge 0.527 0.053 0.768
Ge 0.642 0.283 0.452
Ge 0.800 0.599 0.872
Ge 0.358 0.717 0.548
Ge 0.200 0.401 0.128
Ge 0.473 0.947 0.232
La 0.156 0.312 0.702
La 0.844 0.688 0.298
La 0.000 0.000 0.000
```

Calculated values
Its total energy is -5.831 eV per atom. For the density of states at the Fermi level, the calculation gives 4.3 states/eV/f.u. The calculation puts the energy of formation from the pure elements at -0.5797 eV per atom.


(2)
LaNi2Ge | PBE | relaxed Values from VASP.

```
&SYSTEM
  ibrav = 0, nat = 4, ntyp = 3
/
ATOMIC_SPECIES
La 138.91 La.upf
Ni 58.69 Ni.upf
Ge 72.64 Ge.upf
CELL_PARAMETERS angstrom
-3.298 -2.222 -1.138
-2.047 -2.248 2.805
-4.714 2.375 1.507
ATOMIC_POSITIONS crystal
La 0.500 0.000 0.000
Ni 0.302 0.802 0.594
Ni 0.698 0.198 0.406
Ge 0.000 0.500 0.500
```

Calculated values
Its total energy is -5.846 eV per atom. For the density of states at the Fermi level, the calculation gives 3.3 states/eV/f.u. The calculation puts the energy of formation from the pure elements at -0.5693 eV per atom.


(3)
LaNiGe3 | PBE | relaxed Values from VASP.

```
&SYSTEM
  ibrav = 0, nat = 5, ntyp = 3
/
ATOMIC_SPECIES
Ge 72.64 Ge.upf
Ni 58.69 Ni.upf
La 138.91 La.upf
CELL_PARAMETERS angstrom
-2.480 -3.370 -2.151
0.761 -2.882 3.639
-3.924 1.570 2.064
ATOMIC_POSITIONS crystal
Ge 0.500 0.000 0.000
Ge 0.000 0.000 0.500
Ge 0.000 0.500 0.000
Ni 0.000 0.000 0.000
La 0.500 0.500 0.500
```

Calculated values
Its total energy is -5.162 eV per atom. For the density of states at the Fermi level, the calculation gives 3.6 states/eV/f.u. The calculation puts the energy of formation from the pure elements at -0.2496 eV per atom.


(4)
La4NiGe | PBE | relaxed Values from VASP.

```
&SYSTEM
  ibrav = 0, nat = 12, ntyp = 3
/
ATOMIC_SPECIES
La 138.91 La.upf
Ni 58.69 Ni.upf
Ge 72.64 Ge.upf
CELL_PARAMETERS angstrom
6.478 -0.021 0.000
-1.681 7.663 0.000
-2.398 -3.821 7.122
ATOMIC_POSITIONS crystal
La 0.025 0.214 0.875
La 0.975 0.786 0.125
La 0.654 0.071 0.384
La 0.650 0.339 0.125
La 0.230 0.314 0.384
La 0.350 0.661 0.875
La 0.346 0.929 0.616
La 0.770 0.686 0.616
Ni 0.756 0.006 0.013
Ni 0.244 0.994 0.987
Ge 0.372 0.622 0.244
Ge 0.628 0.378 0.756
```

Calculated values
Its total energy is -5.409 eV per atom. For the density of states at the Fermi level, the calculation gives 6.3 states/eV/f.u. The value obtained for the energy above the lowest structure with this stoichiometry is 0.000 eV per formula unit. The calculation puts the energy of formation from the pure elements at -0.3907 eV per atom.


(5)
LaNi2Ge2 | PBE | relaxed Values from VASP.

```
&SYSTEM
  ibrav = 0, nat = 10, ntyp = 3
/
ATOMIC_SPECIES
Ge 72.64 Ge.upf
Ni 58.69 Ni.upf
La 138.91 La.upf
CELL_PARAMETERS angstrom
7.709 0.000 0.000
0.000 7.709 0.000
0.000 0.000 2.891
ATOMIC_POSITIONS crystal
Ge 0.632 0.132 0.000
Ge 0.868 0.632 0.000
Ge 0.132 0.368 0.000
Ge 0.368 0.868 0.000
Ni 0.140 0.640 0.500
Ni 0.640 0.860 0.500
Ni 0.360 0.140 0.500
Ni 0.860 0.360 0.500
La 0.000 0.000 0.000
La 0.500 0.500 0.000
```

Calculated values
Its total energy is -5.322 eV per atom. For the density of states at the Fermi level, the calculation gives 4.2 states/eV/f.u. The calculation puts the energy of formation from the pure elements at -0.1770 eV per atom.


(6)
La5Ni3Ge3 | PBE | relaxed Values from VASP.

```
&SYSTEM
  ibrav = 0, nat = 11, ntyp = 3
/
ATOMIC_SPECIES
Ni 58.69 Ni.upf
La 138.91 La.upf
Ge 72.64 Ge.upf
CELL_PARAMETERS angstrom
4.182 0.000 0.000
0.000 8.888 0.000
0.000 -4.444 7.697
ATOMIC_POSITIONS crystal
Ni 0.500 0.000 0.433
Ni 0.500 0.567 0.567
Ni 0.500 0.433 0.000
La 0.500 0.333 0.667
La 0.500 0.762 0.000
La 0.500 0.667 0.333
La 0.500 0.238 0.238
La 0.500 0.000 0.762
Ge 0.000 0.322 0.000
Ge 0.000 0.678 0.678
Ge 0.000 0.000 0.322
```

Calculated values
Its total energy is -5.453 eV per atom. For the density of states at the Fermi level, the calculation gives 8.2 states/eV/f.u. The calculation puts the energy of formation from the pure elements at -0.3774 eV per atom.


(7)
LaNiGe3 | PBE | relaxed Values from VASP.

```
&SYSTEM
  ibrav = 0, nat = 5, ntyp = 3
/
ATOMIC_SPECIES
Ni 58.69 Ni.upf
La 138.91 La.upf
Ge 72.64 Ge.upf
CELL_PARAMETERS angstrom
5.533 0.000 0.000
0.000 5.533 0.000
0.000 0.000 5.533
ATOMIC_POSITIONS crystal
Ni 0.500 0.500 0.500
La 0.000 0.000 0.000
Ge 0.500 0.000 0.000
Ge 0.000 0.500 0.000
Ge 0.000 0.000 0.500
```

Calculated values
Its total energy is -3.397 eV per atom. For the density of states at the Fermi level, the calculation gives 5.1 states/eV/f.u. The calculation puts the energy of formation from the pure elements at 1.5149 eV per atom.


(8)
La2Ni4Ge3P | PBE | relaxed Values from VASP.

```
&SYSTEM
  ibrav = 0, nat = 10, ntyp = 4
/
ATOMIC_SPECIES
Ge 72.64 Ge.upf
Ni 58.69 Ni.upf
P 30.97 P.upf
La 138.91 La.upf
CELL_PARAMETERS angstrom
-2.230 -2.646 -2.286
3.468 -2.017 -1.050
-1.056 -5.920 7.884
ATOMIC_POSITIONS crystal
Ge 0.500 0.500 0.871
Ge 0.000 0.000 0.366
Ge 0.000 0.000 0.634
Ni 0.000 0.500 0.753
Ni 0.000 0.500 0.241
Ni 0.500 0.000 0.753
Ni 0.500 0.000 0.241
P 0.500 0.500 0.138
La 0.000 0.000 0.006
La 0.500 0.500 0.496
```

Calculated values
Its total energy is -6.001 eV per atom. For the density of states at the Fermi level, the calculation gives 5.6 states/eV/f.u. The value obtained for the energy above the lowest structure with this stoichiometry is 0.000 eV per formula unit. The calculation puts the energy of formation from the pure elements at -0.7766 eV per atom.